[1]
DFT (GGA-PBE) results for Ta2RePb after structural relaxation.

## Properties
total energy: -9.567 eV per atom
space-group type: Imm2 (44)
DOS at the Fermi energy: 0.8732 states/eV per atom

a = 5.535 Å, b = 5.535 Å, c = 5.535 Å
α = 144.41°, β = 130.55°, γ = 62.41°
Atoms (fractional coordinates):
1 Ta 0.240 0.740 0.500
2 Ta 0.989 0.989 0.000
3 Pb 0.508 0.508 0.000
4 Re 0.763 0.263 0.500

[2]
DFT (GGA-PBE) results for Ta2RePb after structural relaxation.

## Properties
total energy: -9.500 eV per atom
space-group type: I4/mmm (139)
DOS at the Fermi energy: 0.8310 states/eV per atom

a = 5.154 Å, b = 5.154 Å, c = 5.154 Å
α = 132.22°, β = 132.22°, γ = 69.88°
Atoms (fractional coordinates):
1 Pb 0.250 0.750 0.500
2 Ta 0.500 0.500 0.000
3 Ta 0.000 0.000 0.000
4 Re 0.750 0.250 0.500

[3]
DFT (GGA-PBE) results for TaRePb2 after structural relaxation.

## Properties
total energy: -6.921 eV per atom
space-group type: Pmmm (47)
E above lowest polymorph: 0.748 eV per atom
DOS at the Fermi energy: 0.9988 states/eV per atom

a = 3.430 Å, b = 5.099 Å, c = 4.770 Å
α = 90.00°, β = 90.00°, γ = 90.00°
Atoms (fractional coordinates):
1 Re 0.500 0.000 0.500
2 Ta 0.000 0.500 0.500
3 Pb 0.500 0.500 0.000
4 Pb 0.000 0.000 0.000

[4]
DFT (GGA-PBE) results for TaRePb after structural relaxation.

## Properties
total energy: -8.606 eV per atom
space-group type: F-43m (216)
E above lowest polymorph: 0.258 eV per atom
DOS at the Fermi energy: 1.3216 states/eV per atom

a = 4.525 Å, b = 4.525 Å, c = 4.525 Å
α = 60.00°, β = 60.00°, γ = 60.00°
Atoms (fractional coordinates):
1 Ta 0.000 0.000 0.000
2 Re 0.250 0.250 0.250
3 Pb 0.500 0.500 0.500

[5]
DFT (GGA-PBE) results for TaRePb2 after structural relaxation.

## Properties
total energy: -7.251 eV per atom
space-group type: Imm2 (44)
E above lowest polymorph: 0.418 eV per atom
DOS at the Fermi energy: 0.6809 states/eV per atom

a = 6.703 Å, b = 6.703 Å, c = 6.703 Å
α = 151.95°, β = 137.47°, γ = 51.72°
Atoms (fractional coordinates):
1 Re 0.466 0.466 0.000
2 Pb 0.004 0.004 0.000
3 Pb 0.719 0.219 0.500
4 Ta 0.310 0.810 0.500

[6]
DFT (GGA-PBE) results for TaRe2Pb after structural relaxation.

## Properties
total energy: -9.556 eV per atom
space-group type: C2/m (12)
DOS at the Fermi energy: 0.6748 states/eV per atom

a = 4.907 Å, b = 4.907 Å, c = 5.123 Å
α = 78.10°, β = 78.10°, γ = 37.09°
Atoms (fractional coordinates):
1 Re 0.983 0.983 0.038
2 Re 0.517 0.517 0.462
3 Pb 0.750 0.750 0.750
4 Ta 0.250 0.250 0.250

[7]
DFT (GGA-PBE) results for TaRe2Pb after structural relaxation.

## Properties
total energy: -9.313 eV per atom
space-group type: Pmmm (47)
DOS at the Fermi energy: 1.1146 states/eV per atom

a = 3.244 Å, b = 4.885 Å, c = 4.470 Å
α = 90.00°, β = 90.00°, γ = 90.00°
Atoms (fractional coordinates):
1 Pb 0.000 0.500 0.500
2 Re 0.500 0.500 0.000
3 Re 0.000 0.000 0.000
4 Ta 0.500 0.000 0.500

[8]
DFT (GGA-PBE) results for Ta2RePb after structural relaxation.

## Properties
total energy: -9.626 eV per atom
space-group type: P2/m (10)
DOS at the Fermi energy: 0.5845 states/eV per atom

a = 4.180 Å, b = 3.080 Å, c = 6.388 Å
α = 66.90°, β = 90.00°, γ = 90.00°
Atoms (fractional coordinates):
1 Ta 0.000 0.959 0.966
2 Ta 0.000 0.541 0.534
3 Pb 0.500 0.250 0.250
4 Re 0.500 0.750 0.750

Please write out number 1 again, unchanged.
DFT (GGA-PBE) results for Ta2RePb after structural relaxation.

## Properties
total energy: -9.567 eV per atom
space-group type: Imm2 (44)
DOS at the Fermi energy: 0.8732 states/eV per atom

a = 5.535 Å, b = 5.535 Å, c = 5.535 Å
α = 144.41°, β = 130.55°, γ = 62.41°
Atoms (fractional coordinates):
1 Ta 0.240 0.740 0.500
2 Ta 0.989 0.989 0.000
3 Pb 0.508 0.508 0.000
4 Re 0.763 0.263 0.500

Among the records above, which one has the lowest total energy?
number 8

The lowest DOS at the Fermi energy belongs to which entry?
number 8

Copy entry 4 word for word.
DFT (GGA-PBE) results for TaRePb after structural relaxation.

## Properties
total energy: -8.606 eV per atom
space-group type: F-43m (216)
E above lowest polymorph: 0.258 eV per atom
DOS at the Fermi energy: 1.3216 states/eV per atom

a = 4.525 Å, b = 4.525 Å, c = 4.525 Å
α = 60.00°, β = 60.00°, γ = 60.00°
Atoms (fractional coordinates):
1 Ta 0.000 0.000 0.000
2 Re 0.250 0.250 0.250
3 Pb 0.500 0.500 0.500